# CePrAu4, optimized geometry, DFT GGA-PBE
data_CePrAu4
_chemical_formula_sum 'Ce1 Pr1 Au4'
_space_group_name_H-M_alt 'P 1'
_space_group_IT_number 1
_cell_length_a 3.866
_cell_length_b 3.866
_cell_length_c 9.362
_cell_angle_alpha 90.00
_cell_angle_beta 90.00
_cell_angle_gamma 90.00
loop_
_space_group_symop_operation_xyz
'x,y,z'
loop_
_atom_site_label
_atom_site_type_symbol
_atom_site_fract_x
_atom_site_fract_y
_atom_site_fract_z
Ce1 Ce 0.000 0.000 0.000
Pr1 Pr 0.500 0.500 0.500
Au1 Au 0.000 0.000 0.332
Au2 Au 0.000 0.000 0.668
Au3 Au 0.500 0.500 0.166
Au4 Au 0.500 0.500 0.834
# Calculated volume: 140 Å³/cell
# Energy: -4.676 eV per atom
# Space-group type: P4/mmm (123)
# Magnetization: 0.80 μB per formula unit

***

# Ce2PrAu6, optimized geometry, DFT GGA-PBE
data_Ce2PrAu6
_chemical_formula_sum 'Ce2 Pr1 Au6'
_space_group_name_H-M_alt 'P 1'
_space_group_IT_number 1
_cell_length_a 8.598
_cell_length_b 8.598
_cell_length_c 8.598
_cell_angle_alpha 154.98
_cell_angle_beta 126.02
_cell_angle_gamma 60.38
loop_
_space_group_symop_operation_xyz
'x,y,z'
loop_
_atom_site_label
_atom_site_type_symbol
_atom_site_fract_x
_atom_site_fract_y
_atom_site_fract_z
Ce1 Ce 0.141 0.141 0.000
Ce2 Ce 0.859 0.859 0.000
Pr1 Pr 0.500 0.000 0.500
Au1 Au 0.138 0.323 0.815
Au2 Au 0.182 0.500 0.682
Au3 Au 0.491 0.677 0.815
Au4 Au 0.509 0.323 0.185
Au5 Au 0.818 0.500 0.318
Au6 Au 0.862 0.677 0.185
# Calculated volume: 216 Å³/cell
# Energy: -4.679 eV per atom
# Space-group type: Immm (71)
# Magnetization: 1.59 μB per formula unit

***

# CePr2Au6, optimized geometry, DFT GGA-PBE
data_CePr2Au6
_chemical_formula_sum 'Ce1 Pr2 Au6'
_space_group_name_H-M_alt 'P 1'
_space_group_IT_number 1
_cell_length_a 8.285
_cell_length_b 8.285
_cell_length_c 3.601
_cell_angle_alpha 90.00
_cell_angle_beta 90.00
_cell_angle_gamma 120.00
loop_
_space_group_symop_operation_xyz
'x,y,z'
loop_
_atom_site_label
_atom_site_type_symbol
_atom_site_fract_x
_atom_site_fract_y
_atom_site_fract_z
Ce1 Ce 0.000 0.000 0.000
Pr1 Pr 0.333 0.667 0.000
Pr2 Pr 0.667 0.333 0.000
Au1 Au 0.000 0.333 0.500
Au2 Au 0.000 0.667 0.500
Au3 Au 0.333 0.000 0.500
Au4 Au 0.333 0.333 0.500
Au5 Au 0.667 0.000 0.500
Au6 Au 0.667 0.667 0.500
# Calculated volume: 214 Å³/cell
# Energy: -4.632 eV per atom
# Space-group type: P6/mmm (191)
# Magnetization: 1.17 μB per formula unit

***

# Ce2PrAu, optimized geometry, DFT GGA-PBE
data_Ce2PrAu
_chemical_formula_sum 'Ce2 Pr1 Au1'
_space_group_name_H-M_alt 'P 1'
_space_group_IT_number 1
_cell_length_a 3.765
_cell_length_b 3.765
_cell_length_c 8.249
_cell_angle_alpha 90.00
_cell_angle_beta 90.00
_cell_angle_gamma 90.00
loop_
_space_group_symop_operation_xyz
'x,y,z'
loop_
_atom_site_label
_atom_site_type_symbol
_atom_site_fract_x
_atom_site_fract_y
_atom_site_fract_z
Ce1 Ce 0.000 0.000 0.203
Ce2 Ce 0.000 0.000 0.797
Pr1 Pr 0.500 0.500 0.500
Au1 Au 0.500 0.500 0.000
# Calculated volume: 117 Å³/cell
# Energy: -5.203 eV per atom
# Space-group type: P4/mmm (123)
# Magnetization: 1.70 μB per formula unit

***

# Ce2PrAu3, optimized geometry, DFT GGA-PBE
data_Ce2PrAu3
_chemical_formula_sum 'Ce2 Pr1 Au3'
_space_group_name_H-M_alt 'P 1'
_space_group_IT_number 1
_cell_length_a 3.691
_cell_length_b 3.691
_cell_length_c 11.262
_cell_angle_alpha 90.00
_cell_angle_beta 90.00
_cell_angle_gamma 90.00
loop_
_space_group_symop_operation_xyz
'x,y,z'
loop_
_atom_site_label
_atom_site_type_symbol
_atom_site_fract_x
_atom_site_fract_y
_atom_site_fract_z
Ce1 Ce 0.000 0.000 0.165
Ce2 Ce 0.000 0.000 0.835
Pr1 Pr 0.000 0.000 0.500
Au1 Au 0.500 0.500 0.000
Au2 Au 0.500 0.500 0.329
Au3 Au 0.500 0.500 0.671
# Calculated volume: 153 Å³/cell
# Energy: -5.054 eV per atom
# Space-group type: P4/mmm (123)
# Magnetization: 2.11 μB per formula unit

***

# Ce2PrAu8, optimized geometry, DFT GGA-PBE
data_Ce2PrAu8
_chemical_formula_sum 'Ce2 Pr1 Au8'
_space_group_name_H-M_alt 'P 1'
_space_group_IT_number 1
_cell_length_a 8.698
_cell_length_b 8.698
_cell_length_c 8.698
_cell_angle_alpha 144.85
_cell_angle_beta 138.77
_cell_angle_gamma 55.27
loop_
_space_group_symop_operation_xyz
'x,y,z'
loop_
_atom_site_label
_atom_site_type_symbol
_atom_site_fract_x
_atom_site_fract_y
_atom_site_fract_z
Ce1 Ce 0.184 0.184 0.000
Ce2 Ce 0.816 0.816 0.000
Pr1 Pr 0.500 0.000 0.500
Au1 Au 0.000 0.250 0.250
Au2 Au 0.000 0.750 0.750
Au3 Au 0.139 0.367 0.773
Au4 Au 0.298 0.798 0.500
Au5 Au 0.406 0.633 0.773
Au6 Au 0.594 0.367 0.227
Au7 Au 0.702 0.202 0.500
Au8 Au 0.861 0.633 0.227
# Calculated volume: 248 Å³/cell
# Energy: -4.533 eV per atom
# Space-group type: Immm (71)
# Magnetization: 1.68 μB per formula unit

***

# CePr4Au5, optimized geometry, DFT GGA-PBE
data_CePr4Au5
_chemical_formula_sum 'Ce1 Pr4 Au5'
_space_group_name_H-M_alt 'P 1'
_space_group_IT_number 1
_cell_length_a 3.713
_cell_length_b 3.713
_cell_length_c 18.922
_cell_angle_alpha 90.00
_cell_angle_beta 90.00
_cell_angle_gamma 90.00
loop_
_space_group_symop_operation_xyz
'x,y,z'
loop_
_atom_site_label
_atom_site_type_symbol
_atom_site_fract_x
_atom_site_fract_y
_atom_site_fract_z
Ce1 Ce 0.000 0.000 0.000
Pr1 Pr 0.000 0.000 0.199
Pr2 Pr 0.000 0.000 0.400
Pr3 Pr 0.000 0.000 0.600
Pr4 Pr 0.000 0.000 0.801
Au1 Au 0.500 0.500 0.098
Au2 Au 0.500 0.500 0.300
Au3 Au 0.500 0.500 0.500
Au4 Au 0.500 0.500 0.700
Au5 Au 0.500 0.500 0.902
# Calculated volume: 261 Å³/cell
# Energy: -4.857 eV per atom
# Space-group type: P4/mmm (123)
# Magnetization: 1.06 μB per formula unit

***

# CePrPtAu, optimized geometry, DFT GGA-PBE
data_CePrPtAu
_chemical_formula_sum 'Ce1 Pr1 Pt1 Au1'
_space_group_name_H-M_alt 'P 1'
_space_group_IT_number 1
_cell_length_a 4.542
_cell_length_b 6.048
_cell_length_c 6.048
_cell_angle_alpha 37.72
_cell_angle_beta 90.00
_cell_angle_gamma 90.00
loop_
_space_group_symop_operation_xyz
'x,y,z'
loop_
_atom_site_label
_atom_site_type_symbol
_atom_site_fract_x
_atom_site_fract_y
_atom_site_fract_z
Ce1 Ce 0.000 0.000 0.000
Pr1 Pr 0.500 0.275 0.275
Pt1 Pt 0.500 0.537 0.537
Au1 Au 0.000 0.717 0.717
# Calculated volume: 102 Å³/cell
# Energy: -5.917 eV per atom
# Space-group type: Amm2 (38)
# Magnetization: 0.63 μB per formula unit

***

# CePrPtAu, optimized geometry, DFT GGA-PBE
data_CePrPtAu
_chemical_formula_sum 'Ce1 Pr1 Pt1 Au1'
_space_group_name_H-M_alt 'P 1'
_space_group_IT_number 1
_cell_length_a 5.180
_cell_length_b 5.180
_cell_length_c 5.180
_cell_angle_alpha 60.00
_cell_angle_beta 60.00
_cell_angle_gamma 60.00
loop_
_space_group_symop_operation_xyz
'x,y,z'
loop_
_atom_site_label
_atom_site_type_symbol
_atom_site_fract_x
_atom_site_fract_y
_atom_site_fract_z
Ce1 Ce 0.000 0.000 0.000
Pr1 Pr 0.500 0.500 0.500
Pt1 Pt 0.250 0.250 0.250
Au1 Au 0.750 0.750 0.750
# Calculated volume: 98 Å³/cell
# Energy: -5.818 eV per atom
# Space-group type: F-43m (216)
# Magnetization: 1.06 μB per formula unit

***

# CePrRuAu, optimized geometry, DFT GGA-PBE
data_CePrRuAu
_chemical_formula_sum 'Ce1 Pr1 Ru1 Au1'
_space_group_name_H-M_alt 'P 1'
_space_group_IT_number 1
_cell_length_a 5.103
_cell_length_b 5.103
_cell_length_c 5.103
_cell_angle_alpha 60.00
_cell_angle_beta 60.00
_cell_angle_gamma 60.00
loop_
_space_group_symop_operation_xyz
'x,y,z'
loop_
_atom_site_label
_atom_site_type_symbol
_atom_site_fract_x
_atom_site_fract_y
_atom_site_fract_z
Ce1 Ce 0.000 0.000 0.000
Pr1 Pr 0.500 0.500 0.500
Ru1 Ru 0.750 0.750 0.750
Au1 Au 0.250 0.250 0.250
# Calculated volume: 94 Å³/cell
# Energy: -6.191 eV per atom
# Space-group type: F-43m (216)
# Magnetization: 0.74 μB per formula unit

***

# CePrSbAu, optimized geometry, DFT GGA-PBE
data_CePrSbAu
_chemical_formula_sum 'Ce1 Pr1 Sb1 Au1'
_space_group_name_H-M_alt 'P 1'
_space_group_IT_number 1
_cell_length_a 5.398
_cell_length_b 5.398
_cell_length_c 5.398
_cell_angle_alpha 60.00
_cell_angle_beta 60.00
_cell_angle_gamma 60.00
loop_
_space_group_symop_operation_xyz
'x,y,z'
loop_
_atom_site_label
_atom_site_type_symbol
_atom_site_fract_x
_atom_site_fract_y
_atom_site_fract_z
Ce1 Ce 0.000 0.000 0.000
Pr1 Pr 0.500 0.500 0.500
Sb1 Sb 0.750 0.750 0.750
Au1 Au 0.250 0.250 0.250
# Calculated volume: 111 Å³/cell
# Energy: -5.280 eV per atom
# Space-group type: F-43m (216)
# Magnetization: 2.41 μB per formula unit

***

# Ce2PrSi2Au2, optimized geometry, DFT GGA-PBE
data_Ce2PrSi2Au2
_chemical_formula_sum 'Ce2 Pr1 Si2 Au2'
_space_group_name_H-M_alt 'P 1'
_space_group_IT_number 1
_cell_length_a 9.760
_cell_length_b 9.760
_cell_length_c 9.760
_cell_angle_alpha 25.80
_cell_angle_beta 25.80
_cell_angle_gamma 25.80
loop_
_space_group_symop_operation_xyz
'x,y,z'
loop_
_atom_site_label
_atom_site_type_symbol
_atom_site_fract_x
_atom_site_fract_y
_atom_site_fract_z
Ce1 Ce 0.142 0.142 0.142
Ce2 Ce 0.858 0.858 0.858
Pr1 Pr 0.000 0.000 0.000
Si1 Si 0.257 0.257 0.257
Si2 Si 0.743 0.743 0.743
Au1 Au 0.405 0.405 0.405
Au2 Au 0.595 0.595 0.595
# Calculated volume: 155 Å³/cell
# Energy: -5.506 eV per atom
# Space-group type: R-3m (166)
# Magnetization: 1.46 μB per formula unit